This record from the Alexandria database describes crystalline Cu2SeBr at its relaxed geometry. The functional is PBE.

It has space group I-42d (No. 122), with a = 5.658 Å, b = 5.658 Å, c = 11.180 Å, α = 90.00°, β = 90.00° and γ = 90.00°. Symmetry generates all atoms from Cu at (0.221, 0.250, 0.125), Se at (0.000, 0.000, 0.000) and Br at (0.000, 0.000, 0.500).

As for the density: 5.3 g cm⁻³. The crystal system is tetragonal.

This record from the Alexandria database describes crystalline TlAs2PbSe at its relaxed geometry. The functional is PBE.

It has space group P4/mmm (No. 123), with a = 5.582 Å, b = 5.582 Å, c = 5.660 Å, α = 90.00°, β = 90.00° and γ = 90.00°. Symmetry generates all atoms from Tl at (0.000, 0.000, 0.000), As at (0.000, 0.500, 0.500), Pb at (0.500, 0.500, 0.500) and Se at (0.500, 0.500, 0.000).

As for the density: 6.0 g cm⁻³. The crystal system is tetragonal.

This record from the Alexandria database describes crystalline K6Ga3Cl14 at its relaxed geometry. The functional is PBE.

It has space group P3 (No. 143), with a = 11.0971 Å, b = 11.0971 Å, c = 6.8424 Å, α = 90.00°, β = 90.00° and γ = 120.00°. Symmetry generates all atoms from K at (0.0128, 0.4598, 0.0000), K at (0.2871, 0.1892, 0.4546), Ga at (0.0000, 0.0000, 0.0241), Ga at (0.3333, 0.6667, 0.5764), Ga at (0.6667, 0.3333, 0.6350), Cl at (0.0000, 0.0000, 0.6624), Cl at (0.0837, 0.2317, 0.1699), Cl at (0.2057, 0.7511, 0.6957), Cl at (0.3333, 0.6667, 0.2532), Cl at (0.4630, 0.2570, 0.8396) and Cl at (0.5391, 0.1272, 0.4357).

As for the density: 2.1 g cm⁻³. The crystal system is trigonal.

E across the listed records, respectively: -14.14 -15.75 -76.90 eV/f.u..
Formation energy (no corrections) across the listed records, respectively: -197 622 -1538 meV/atom.